# 1
A plane-wave DFT calculation with PBE was carried out for crystalline Be2OsPd2 at its relaxed geometry.

Structure (extended XYZ):
```
10
Lattice="-5.363 -0.621 3.906 -2.998 -3.653 -4.698 1.046 -2.247 1.080" Properties=species:S:1:pos:R:3 pbc="T T T"
Os -4.181 -2.137 -0.396
Os 0.000 0.000 0.000
Be -3.828 -0.897 1.844
Be -4.533 -3.378 -2.636
Be -1.823 -1.411 -1.169
Be -6.538 -2.864 0.377
Pd -4.996 -2.884 2.224
Pd -1.778 -1.921 1.110
Pd -5.537 -4.600 -0.823
Pd -2.319 -3.637 -1.936
```

The space-group type is P4/mbm.

---

# 2
A plane-wave DFT calculation with PBE was carried out for crystalline BeOsPd2 at its relaxed geometry.

Structure (extended XYZ):
```
8
Lattice="3.621 0.000 0.000 0.000 3.621 0.000 1.810 1.810 8.910" Properties=species:S:1:pos:R:3 pbc="T T T"
Os 3.621 1.810 4.455
Os 0.000 0.000 0.000
Pd 2.696 0.905 2.228
Pd 4.526 4.506 6.683
Pd 2.716 2.735 6.683
Pd 0.925 2.716 2.228
Be 1.810 3.621 4.455
Be 1.810 1.810 0.000
```

The space-group type is I-42d.

---

# 3
A plane-wave DFT calculation with PBE was carried out for crystalline Be4OsPd at its relaxed geometry.

Structure (extended XYZ):
```
6
Lattice="4.388 0.000 0.000 2.194 3.800 0.000 2.194 1.267 3.583" Properties=species:S:1:pos:R:3 pbc="T T T"
Be 3.280 3.173 2.244
Be 4.388 2.533 0.434
Be 4.388 1.254 2.244
Be 5.496 3.173 2.244
Pd 2.194 1.267 0.896
Os 0.000 0.000 0.000
```

The space-group type is F-43m.

---

# 4
A plane-wave DFT calculation with PBE was carried out for crystalline RbBeOs2Pd at its relaxed geometry.

Structure (extended XYZ):
```
5
Lattice="-0.971 3.600 -1.930 -4.942 -0.242 2.036 1.282 2.152 3.369" Properties=species:S:1:pos:R:3 pbc="T T T"
Os 0.641 1.076 1.685
Os -0.486 1.800 -0.965
Rb -2.471 -0.121 1.018
Pd -2.316 2.755 1.737
Be 0.000 0.000 0.000
```

The space-group type is P4/mmm.

---

# 5
A plane-wave DFT calculation with PBE was carried out for crystalline Rb2BeOsPd at its relaxed geometry.

Structure (extended XYZ):
```
5
Lattice="-4.249 4.424 2.100 -3.578 -2.420 -2.141 -0.911 -3.446 5.416" Properties=species:S:1:pos:R:3 pbc="T T T"
Pd 0.000 0.000 0.000
Rb -2.125 2.212 1.050
Rb -0.455 -1.723 2.708
Be -4.369 -0.721 2.688
Os -1.789 -1.210 -1.071
```

The space-group type is P4/mmm.

---

# 6
A plane-wave DFT calculation with PBE was carried out for crystalline BeOsPdRh2 at its relaxed geometry.

Structure (extended XYZ):
```
5
Lattice="-2.029 3.230 -1.474 -3.573 -1.602 1.407 0.525 1.952 3.555" Properties=species:S:1:pos:R:3 pbc="T T T"
Rh -1.015 1.615 -0.737
Rh 0.262 0.976 1.778
Os -1.786 -0.801 0.704
Pd -2.539 1.790 1.744
Be 0.000 0.000 0.000
```

The space-group type is P4/mmm.

---

no.,formation enthalpy at 0 K (eV per atom),D(E_F) (states/eV/cell)
1,-0.19,6.1
2,0.54,5.9
3,-0.23,5.1
4,1.57,6.4
5,1.56,5.2
6,0.50,8.0